Record 1
Entry from the Alexandria database: a relaxed AcBPdO5 crystal (PBE-GGA).

Cell lengths 5.598, 5.598, 6.994 Å; angles 102.84, 102.84, 108.02 degrees
Fractional positions:
Pd: 0.000 0.000 0.000
Pd: 0.000 0.000 0.500
O: 0.241 0.430 0.588
O: 0.090 0.910 0.250
O: 0.759 0.570 0.412
O: 0.113 0.686 0.869
O: 0.570 0.759 0.912
O: 0.430 0.241 0.088
O: 0.887 0.314 0.131
O: 0.686 0.113 0.369
O: 0.910 0.090 0.750
O: 0.314 0.887 0.631
Ac: 0.354 0.646 0.250
Ac: 0.646 0.354 0.750
B: 0.700 0.300 0.250
B: 0.300 0.700 0.750

## Properties
Uncorrected formation energy, eV per atom: -1.90
Volume, Å³ per atom: 12.06

***

Record 2
Entry from the Alexandria database: a relaxed LaEr2Zr crystal (PBE-GGA).

Cell lengths 3.996, 3.996, 7.563 Å; angles 90.00, 90.00, 90.00 degrees
Fractional positions:
La: 0.500 0.500 0.500
Er: 0.000 0.000 0.215
Er: 0.000 0.000 0.785
Zr: 0.500 0.500 0.000

## Properties
Volume, Å³ per atom: 30.19
Energy above the lowest structure with this stoichiometry, eV per formula unit: 0.31
E_form, eV per formula unit: 0.64

***

Record 3
Entry from the Alexandria database: a relaxed Ti2CdGaGe crystal (PBE-GGA).

Cell lengths 5.078, 4.798, 5.078 Å; angles 90.00, 90.00, 90.00 degrees
Fractional positions:
Ge: 0.000 0.500 0.000
Cd: 0.000 0.000 0.000
Ti: 0.500 0.000 0.000
Ti: 0.000 0.000 0.500
Ga: 0.500 0.500 0.500

## Properties
Volume, Å³ per atom: 24.75
E_form, eV per formula unit: 5.78

***

Record 4
Entry from the Alexandria database: a relaxed Hf2TaCrCl crystal (PBE-GGA).

Cell lengths 5.317, 4.359, 5.317 Å; angles 90.00, 90.00, 90.00 degrees
Fractional positions:
Hf: 0.500 0.000 0.000
Hf: 0.000 0.000 0.500
Ta: 0.000 0.000 0.000
Cr: 0.000 0.500 0.000
Cl: 0.500 0.500 0.500

## Properties
Uncorrected formation energy, eV per atom: 1.29
Volume, Å³ per atom: 24.65

***

Record 5
Entry from the Alexandria database: a relaxed TiVCrP2 crystal (PBE-GGA).

Cell lengths 4.532, 4.149, 4.532 Å; angles 90.00, 90.00, 90.00 degrees
Site moments in Bohr magnetons follow the coordinates.
Fractional positions:
Ti: 0.500 0.500 0.500  -0.86
P: 0.000 0.000 0.500  0.02
P: 0.500 0.000 0.000  0.04
V: 0.000 0.000 0.000  -0.46
Cr: 0.000 0.500 0.000  2.34

## Properties
Volume, Å³ per atom: 17.04
E_form, eV per formula unit: 2.68

***

Record 6
Entry from the Alexandria database: a relaxed CdAsCl2 crystal (PBE-GGA).

Cell lengths 9.828, 9.828, 9.828 Å; angles 19.23, 19.23, 19.23 degrees
Fractional positions:
Cd: 0.000 0.000 0.000
As: 0.500 0.500 0.500
Cl: 0.094 0.094 0.094
Cl: 0.906 0.906 0.906

## Properties
Uncorrected formation energy, eV per atom: -0.02
Volume, Å³ per atom: 22.50
Energy above the lowest structure with this stoichiometry, eV per formula unit: 1.54